[1]
VASP calculation (PBE-GGA) on a relaxed LaYBe2V crystal.

Cell and atoms, written as POSCAR:
```
LaYBe2V
1.0
-3.7076 -0.1235 3.2800
-2.0327 -3.5524 -2.4314
2.5106 -3.2941 2.7139
V La Y Be
1 1 1 2
Direct
0.0000 0.5000 0.0000 V
0.0000 0.0000 0.0000 La
0.5000 0.5000 0.5000 Y
0.5000 0.0000 0.0000 Be
0.0000 0.0000 0.5000 Be
```

Output
The formation energy comes out at 1.368 eV/atom.

=====

[2]
VASP calculation (PBE-GGA) on a relaxed La4BeW crystal.

Cell and atoms, written as POSCAR:
```
La4BeW
1.0
0.0000 4.3865 4.3865
4.3865 0.0000 4.3865
4.3865 4.3865 0.0000
La Be W
4 1 1
Direct
0.3760 0.3760 0.8719 La
0.3760 0.3760 0.3760 La
0.8719 0.3760 0.3760 La
0.3760 0.8719 0.3760 La
0.0000 0.0000 0.0000 Be
0.7500 0.7500 0.7500 W
```

Output
The formation energy comes out at 1.231 eV/atom.

=====

[3]
VASP calculation (PBE-GGA) on a relaxed LaBe2W crystal.

Cell and atoms, written as POSCAR:
```
LaBe2W
1.0
-3.0728 -0.7886 0.8861
-0.1443 -2.1289 -2.3948
2.0672 -6.5447 1.3443
Be La W
2 1 1
Direct
0.0000 0.4131 0.5871 Be
0.0000 0.0869 0.9129 Be
0.5000 0.2500 0.2500 La
0.5000 0.7500 0.7500 W
```

Output
The energy relative to the lowest polymorph listed for this composition comes out at 0.0 meV per atom. The formation energy comes out at 0.262 eV/atom.

=====

[4]
VASP calculation (PBE-GGA) on a relaxed LaBe2W crystal.

Cell and atoms, written as POSCAR:
```
LaBe2W
1.0
-3.9728 -0.5931 -3.3214
-1.6723 -4.8950 -0.6395
1.0209 3.0860 4.0744
La Be W
1 2 1
Direct
0.5000 0.5000 0.0000 La
0.2500 0.7500 0.5000 Be
0.0000 0.0000 0.0000 Be
0.7500 0.2500 0.5000 W
```

Output
The energy relative to the lowest polymorph listed for this composition comes out at 654.0 meV per atom. The formation energy comes out at 0.916 eV/atom.